Here is a geometry-optimized Hf2ZrCu2As4Pd2 structure from OQMD via LeMat-Bulk. Energies are from PBE-GGA.

The structure in POSCAR format:
```
Hf2ZrCu2As4Pd2
1.0
6.548 0.000 0.000
0.000 3.898 0.000
-0.113 0.000 7.665
As Cu Hf Pd Zr
4 2 2 2 1
Cartesian
1.609 1.949 0.819
4.920 1.949 2.779
1.550 0.000 4.915
4.885 0.000 6.811
4.105 1.949 0.398
2.345 0.000 7.185
6.312 0.000 1.452
3.466 1.949 5.201
0.963 1.949 3.401
5.523 0.000 4.401
3.003 0.000 2.472
```

Calculated values
Uncorrected energy ... -6.54 eV per atom
Space-group type ... Pm

Here is a geometry-optimized HfCuReAs structure from OQMD via LeMat-Bulk. Energies are from PBE-GGA.

The structure in POSCAR format:
```
HfCuReAs
1.0
-0.825 -4.137 1.515
-3.669 -2.192 -1.352
0.377 -3.513 -2.758
As Cu Hf Re
1 1 1 1
Cartesian
0.000 0.000 0.000
-3.088 -7.382 -1.947
-2.058 -4.921 -1.298
-1.029 -2.461 -0.649
```

Calculated values
Uncorrected energy ... -7.51 eV per atom
Space-group type ... F-43m
Energy relative to the lowest polymorph listed for this composition ... 0.00 kJ/mol of atoms

Here is a geometry-optimized HfTaCuAs structure from OQMD via LeMat-Bulk. Energies are from PBE-GGA.

The structure in POSCAR format:
```
HfTaCuAs
1.0
0.000 3.247 3.247
3.247 0.000 3.247
3.247 3.247 0.000
As Cu Hf Ta
1 1 1 1
Cartesian
0.000 0.000 0.000
4.871 4.871 4.871
3.247 3.247 3.247
1.624 1.624 1.624
```

Calculated values
Uncorrected energy ... -7.16 eV per atom
Space-group type ... F-43m
Energy relative to the lowest polymorph listed for this composition ... 0.00 kJ/mol of atoms

Here is a geometry-optimized HfCuAsW structure from OQMD via LeMat-Bulk. Energies are from PBE-GGA.

The structure in POSCAR format:
```
HfCuAsW
1.0
-1.542 -2.504 3.438
-2.406 1.935 3.307
-4.428 -0.850 0.371
As Cu Hf W
1 1 1 1
Cartesian
0.000 0.000 0.000
-6.282 -1.064 5.337
-4.188 -0.709 3.558
-2.094 -0.355 1.779
```

Calculated values
Uncorrected energy ... -7.42 eV per atom
Space-group type ... F-43m
Energy relative to the lowest polymorph listed for this composition ... 0.00 kJ/mol of atoms

Here is a geometry-optimized HfZnCuAs structure from OQMD via LeMat-Bulk. Energies are from PBE-GGA.

The structure in POSCAR format:
```
HfZnCuAs
1.0
0.000 3.241 3.241
3.241 0.000 3.241
3.241 3.241 0.000
As Cu Hf Zn
1 1 1 1
Cartesian
0.000 0.000 0.000
4.862 4.862 4.862
3.241 3.241 3.241
1.621 1.621 1.621
```

Calculated values
Uncorrected energy ... -4.74 eV per atom
Space-group type ... F-43m
Energy relative to the lowest polymorph listed for this composition ... 14.95 kJ/mol of atoms

Here is a geometry-optimized HfZnCuAs structure from OQMD via LeMat-Bulk. Energies are from PBE-GGA.

The structure in POSCAR format:
```
HfZnCuAs
1.0
2.355 -3.163 -2.261
-1.214 -4.371 0.281
-1.854 -2.079 -3.592
As Cu Hf Zn
1 1 1 1
Cartesian
0.000 0.000 0.000
-0.535 -7.210 -4.179
-0.178 -2.403 -1.393
-0.357 -4.807 -2.786
```

Calculated values
Uncorrected energy ... -4.89 eV per atom
Space-group type ... F-43m
Energy relative to the lowest polymorph listed for this composition ... 0.00 kJ/mol of atoms

What did the fourth record say?
Here is a geometry-optimized HfCuAsW structure from OQMD via LeMat-Bulk. Energies are from PBE-GGA.

The structure in POSCAR format:
```
HfCuAsW
1.0
-1.542 -2.504 3.438
-2.406 1.935 3.307
-4.428 -0.850 0.371
As Cu Hf W
1 1 1 1
Cartesian
0.000 0.000 0.000
-6.282 -1.064 5.337
-4.188 -0.709 3.558
-2.094 -0.355 1.779
```

Calculated values
Uncorrected energy ... -7.42 eV per atom
Space-group type ... F-43m
Energy relative to the lowest polymorph listed for this composition ... 0.00 kJ/mol of atoms